(1)
First-principles (PBE-GGA) data for an optimized crystal structure of TiHgPS2, as listed in Alexandria via LeMat-Bulk.

The space group is P4/mmm (No. 123) and the conventional cell measures 4.956, 4.956 and 4.905 Å, with angles of 90.00, 90.00 and 90.00 degrees. The distinct sites, in fractional coordinates, are Ti at (0.000, 0.000, 0.000), Hg at (0.500, 0.500, 0.500), P at (0.500, 0.500, 0.000) and S at (0.000, 0.500, 0.500).

For the density of states at the Fermi level, the calculation gives 4.82 states/eV/f.u. The energy above the lowest structure with this stoichiometry comes out at 1091 meV per atom. As for the volume: 24.10 Å³/atom. Its total magnetization is 0.6 μB/f.u.

---

(2)
First-principles (PBE-GGA) data for an optimized crystal structure of Ni2Ir2Ru, as listed in Alexandria via LeMat-Bulk.

The space group is Immm (No. 71) and the conventional cell measures 2.687, 3.741 and 13.029 Å, with angles of 90.00, 90.00 and 90.00 degrees. The distinct sites, in fractional coordinates, are Ni at (0.000, 0.000, 0.203), Ir at (0.000, 0.000, 0.396) and Ru at (0.000, 0.000, 0.000).

Its formation energy from the elements is 0.02 eV per atom. For the density of states at the Fermi level, the calculation gives 7.55 states/eV/f.u. The energy above the lowest structure with this stoichiometry comes out at 0 meV per atom. As for the volume: 13.10 Å³/atom. Its total magnetization is 0.0 μB/f.u.

---

- The lowest energy above the lowest structure with this stoichiometry belongs to which entry?
  Ni2Ir2Ru